1.
ScTePb2 | PBEsol | optimized geometry

Results
* energy relative to the elements, uncorrected: -0.434 eV per atom

Unit cell a=3.6370 b=3.6370 c=8.1807 alpha=90.00 beta=90.00 gamma=90.00
Atoms (fractional coordinates):
Pb 0.0000 0.0000 0.0035
Sc 0.0000 0.0000 0.5295
Pb 0.5000 0.5000 0.2723
Te 0.5000 0.5000 0.6947



2.
Zr2CrSiC | PBEsol | optimized geometry

Results
* energy relative to the elements, uncorrected: 1.025 eV per atom

Unit cell a=3.4888 b=5.0710 c=5.0710 alpha=90.00 beta=90.00 gamma=90.00
Last column: magnetic moment on the atom in μB.
Atoms (fractional coordinates):
Si 0.0000 0.0000 0.0000  -0.01
Cr 0.5000 0.5000 0.5000  3.19
C 0.5000 0.0000 0.0000  0.01
Zr 0.0000 0.0000 0.5000  -0.14
Zr 0.0000 0.5000 0.0000  -0.14



3.
Co2NiHg | PBEsol | optimized geometry

Results
* formation enthalpy at 0 K: 321 meV per atom

Unit cell a=2.7112 b=4.4004 c=4.6272 alpha=100.88 beta=90.00 gamma=107.94
Last column: magnetic moment on the atom in μB.
Atoms (fractional coordinates):
Co 0.0016 0.0032 0.0108  1.54
Hg 0.5000 0.0000 0.5059  -0.03
Co 0.7390 0.4780 0.2008  1.63
Ni 0.2594 0.5189 0.7826  0.54